[1]
The following is a DFT calculation (GGA-PBE) of crystalline NbBr2F at its relaxed geometry.

POSCAR file:
```
NbBr2F
1.0
2.746 -3.566 1.137
3.209 0.507 3.316
-0.534 -2.128 4.091
Nb Br F
1 2 1
direct
0.500 0.500 0.500
0.250 0.250 0.250
0.750 0.750 0.750
0.000 0.000 0.000
```

Properties
Energy above the most stable polymorph in this dataset: 0.785 eV/atom
Raw formation energy: -246.1 kJ/mol of formula units
DOS at the Fermi energy: 0.000 states/eV/atom

=====

[2]
The following is a DFT calculation (GGA-PBE) of crystalline Nb3Br7F at its relaxed geometry.

POSCAR file:
```
Nb3Br7F
1.0
6.217 0.000 3.304
3.115 6.098 1.640
-0.288 0.004 8.042
Nb Br F
3 7 1
direct
0.032 0.320 0.615
0.633 0.719 0.615
0.032 0.719 0.615
0.327 0.919 0.427
0.298 0.581 0.823
0.857 0.918 0.368
0.298 0.089 0.823
0.790 0.089 0.823
0.356 0.420 0.367
0.857 0.420 0.367
0.795 0.586 0.824
```

Properties
Raw formation energy: -1120.2 kJ/mol of formula units
DOS at the Fermi energy: 0.127 states/eV/atom

=====

[3]
The following is a DFT calculation (GGA-PBE) of crystalline Rb2NbBr2F4 at its relaxed geometry.

POSCAR file:
```
Rb2NbBr2F4
1.0
-3.443 -1.679 3.754
-2.534 -4.967 -4.998
2.364 -6.966 -1.399
Rb Nb Br F
2 1 2 4
direct
0.121 0.632 0.632
0.879 0.368 0.368
0.500 0.000 0.000
0.350 0.184 0.184
0.650 0.816 0.816
0.265 0.732 0.197
0.735 0.803 0.268
0.735 0.268 0.803
0.265 0.197 0.732
```

Properties
Raw formation energy: -2088.2 kJ/mol of formula units
DOS at the Fermi energy: 0.308 states/eV/atom

=====

[4]
The following is a DFT calculation (GGA-PBE) of crystalline Rb2NbBr6F at its relaxed geometry.

POSCAR file:
```
Rb2NbBr6F
1.0
7.743 0.000 0.000
0.000 7.743 0.000
3.872 3.872 5.489
Nb Br Rb F
1 6 2 1
direct
0.000 0.000 0.000
0.234 0.234 0.532
0.766 0.766 0.468
0.235 0.235 0.000
0.765 0.765 0.000
0.765 0.235 0.000
0.235 0.765 0.000
0.750 0.250 0.500
0.250 0.750 0.500
0.500 0.500 0.000
```

Properties
Raw formation energy: -1185.5 kJ/mol of formula units
DOS at the Fermi energy: 0.000 states/eV/atom

=====

[5]
The following is a DFT calculation (GGA-PBE) of crystalline Rb2NbBr4F2 at its relaxed geometry.

POSCAR file:
```
Rb2NbBr4F2
1.0
-2.807 -4.579 -2.736
-1.789 -3.965 5.671
-6.695 1.083 2.256
Rb Nb Br F
2 1 4 2
direct
0.180 0.671 0.671
0.820 0.329 0.329
0.500 0.000 0.000
0.304 0.660 0.146
0.696 0.854 0.340
0.696 0.340 0.854
0.304 0.146 0.660
0.246 0.132 0.132
0.754 0.868 0.868
```

Properties
Raw formation energy: -1618.9 kJ/mol of formula units

=====

[6]
The following is a DFT calculation (GGA-PBE) of crystalline NbSbBr2F at its relaxed geometry.

POSCAR file:
```
NbSbBr2F
1.0
-3.708 -1.731 3.645
-0.705 -3.366 -2.315
3.927 -2.690 2.716
Sb Nb Br F
1 1 2 1
direct
0.500 0.500 0.500
0.000 0.000 0.000
0.000 0.000 0.500
0.500 0.000 0.000
0.000 0.500 0.000
```

Properties
Raw formation energy: -214.1 kJ/mol of formula units
DOS at the Fermi energy: 0.901 states/eV/atom

=====

- Among the records above, which one has the lowest raw formation energy?
  Rb2NbBr2F4

=====

Copy entry 5 word for word.
The following is a DFT calculation (GGA-PBE) of crystalline Rb2NbBr4F2 at its relaxed geometry.

POSCAR file:
```
Rb2NbBr4F2
1.0
-2.807 -4.579 -2.736
-1.789 -3.965 5.671
-6.695 1.083 2.256
Rb Nb Br F
2 1 4 2
direct
0.180 0.671 0.671
0.820 0.329 0.329
0.500 0.000 0.000
0.304 0.660 0.146
0.696 0.854 0.340
0.696 0.340 0.854
0.304 0.146 0.660
0.246 0.132 0.132
0.754 0.868 0.868
```

Properties
Raw formation energy: -1618.9 kJ/mol of formula units

=====

- Which value of raw formation energy does entry 4 give?
  -1185.5 kJ/mol of formula units